[1]
Here is an optimized crystal structure of CePmAs2Pd2 from the Alexandria database. Energies are from PBE.

Summary:
crystal system	trigonal
spin magnetization	1.115	μB per formula unit
electronic total energy	-6.21	eV per atom
volume	21.5	Å³/atom

Cell and atoms, written as extended XYZ:
```
6
Lattice="4.3670 0.0000 0.0000 -2.1835 3.7819 0.0000 0.0000 0.0000 7.8061" Properties=species:S:1:pos:R:3 pbc="T T T"
Ce 0.0000 0.0000 0.0000
Pm 0.0000 0.0000 3.9031
As 0.0000 2.5213 1.9496
As 2.1835 1.2606 5.8565
Pd 0.0000 2.5213 5.8610
Pd 2.1835 1.2606 1.9451
```

***

[2]
Here is an optimized crystal structure of CePmAsPd from the Alexandria database. Energies are from PBE.

Summary:
crystal system	cubic
spin magnetization	1.963	μB per formula unit
electronic total energy	-5.97	eV per atom
volume	23.8	Å³/atom

Cell and atoms, written as extended XYZ:
```
4
Lattice="0.0000 3.6232 3.6232 3.6232 0.0000 3.6232 3.6232 3.6232 0.0000" Properties=species:S:1:pos:R:3 pbc="T T T"
Ce 0.0000 0.0000 0.0000
Pm 3.6232 3.6232 3.6232
As 1.8116 1.8116 1.8116
Pd 5.4348 5.4348 5.4348
```

***

[3]
Here is an optimized crystal structure of CePrAs2Pd2 from the Alexandria database. Energies are from PBE.

Summary:
crystal system	trigonal
spin magnetization	1.114	μB per formula unit
electronic total energy	-6.21	eV per atom
volume	21.8	Å³/atom

Cell and atoms, written as extended XYZ:
```
6
Lattice="4.3777 0.0000 0.0000 -2.1889 3.7912 0.0000 0.0000 0.0000 7.8930" Properties=species:S:1:pos:R:3 pbc="T T T"
Ce 0.0000 0.0000 0.0000
Pr 0.0000 0.0000 3.9465
As 0.0000 2.5275 1.9591
As 2.1889 1.2637 5.9339
Pd 0.0000 2.5275 5.9809
Pd 2.1889 1.2637 1.9121
```

***

[4]
Here is an optimized crystal structure of Ce2As4Pd3Pt from the Alexandria database. Energies are from PBE.

Summary:
crystal system	tetragonal
spin magnetization	1.737	μB per formula unit
electronic total energy	-6.05	eV per atom
volume	19.6	Å³/atom

Cell and atoms, written as extended XYZ:
```
10
Lattice="4.4776 0.0000 0.0000 0.0000 4.4776 0.0000 0.0000 0.0000 9.7638" Properties=species:S:1:pos:R:3 pbc="T T T"
Ce 0.0000 2.2388 2.4347
Ce 2.2388 0.0000 7.3291
As 0.0000 0.0000 0.0000
As 0.0000 2.2388 6.1573
As 2.2388 0.0000 3.6064
As 2.2388 2.2388 0.0000
Pd 0.0000 2.2388 8.6018
Pd 2.2388 0.0000 1.1620
Pd 2.2388 2.2388 4.8819
Pt 0.0000 0.0000 4.8819
```